1.
Here is TlOsW2 after structural relaxation from the Alexandria database. Energies are from PBE.

a b c (Å): 9.6414 2.9154 5.0216
angles (deg): 90.00 101.32 90.00
With the nearest neighbours (Å) after each atom.
Space group Cm (No. 8)
Symmetry-distinct sites (fractional):
Tl 0.0000 0.0000 0.0000 (multiplicity 2)  7 W 2.88-3.06, 2 Tl 2.92, 3 Os 2.92-3.04
Os 0.2357 0.0000 0.7142 (multiplicity 2)  4 W 2.66-2.67, 2 Os 2.92, 1 Tl 2.92
W 0.0100 0.5000 0.5072 (multiplicity 2)  2 Os 2.66, 5 W 2.80-2.92, 4 Tl 2.89-2.92
W 0.2673 0.5000 0.2837 (multiplicity 2)  2 Os 2.67, 5 W 2.80-2.92, 1 Tl 2.88

Summary:
The calculation puts the raw total energy at -9.1605 eV per atom. The value obtained for the relative energy among the computed polymorphs is 0.173 eV/atom. The formation energy is 0.7151 eV per atom. As for the magnetic moment: 0.0 μB/cell.

2.
Here is USi2IrRh after structural relaxation from the Alexandria database. Energies are from PBE.

a b c (Å): 4.0305 4.0305 10.0933
angles (deg): 90.00 90.00 90.00
With the nearest neighbours (Å) after each atom.
Space group I-4m2 (No. 119)
Symmetry-distinct sites (fractional):
U 0.0000 0.0000 0.0000 (multiplicity 2)  8 Si 3.08, 4 Ir 3.23, 4 Rh 3.23
Si 0.0000 0.0000 0.3832 (multiplicity 4)  1 Si 2.36, 2 Rh 2.42, 2 Ir 2.42
Ir 0.0000 0.5000 0.7500 (multiplicity 2)  4 Si 2.42
Rh 0.0000 0.5000 0.2500 (multiplicity 2)  4 Si 2.42

Summary:
The calculation puts the raw total energy at -8.4701 eV per atom. The formation energy without anion corrections is -0.801 eV/atom. As for the magnetic moment: 4.2 μB/cell.

3.
Here is SrMnInSn2 after structural relaxation from the Alexandria database. Energies are from PBE.

a b c (Å): 5.1266 5.1266 5.1616
angles (deg): 90.00 90.00 90.00
With the nearest neighbours (Å) after each atom.
Space group P4/mmm (No. 123)
Symmetry-distinct sites (fractional):
Sr 0.0000 0.0000 0.0000 (multiplicity 1)  4 In 3.63, 8 Sn 3.64
Mn 0.5000 0.5000 0.5000 (multiplicity 1)  4 Sn 2.56, 2 In 2.58
In 0.5000 0.5000 0.0000 (multiplicity 1)  2 Mn 2.58
Sn 0.0000 0.5000 0.5000 (multiplicity 2)  2 Mn 2.56

Summary:
The calculation puts the raw total energy at -4.4558 eV per atom. The formation energy is -0.1367 eV per atom. As for the magnetic moment: 2.3 μB/cell.

4.
Here is ThPa2FeC4 after structural relaxation from the Alexandria database. Energies are from PBE.

a b c (Å): 3.5470 11.6360 11.8430
angles (deg): 90.00 90.00 90.00
With the nearest neighbours (Å) after each atom.
Space group Cmcm (No. 63)
Symmetry-distinct sites (fractional):
Th 0.0000 0.1002 0.2500 (multiplicity 4)  6 C 2.72-2.77, 1 Fe 3.04
Pa 0.0000 0.3656 0.0493 (multiplicity 8)  6 C 2.43-2.51
Fe 0.0000 0.1611 0.7500 (multiplicity 4)  4 C 1.86-2.02
C 0.0000 0.0000 0.0000 (multiplicity 4)  4 Pa 2.44
C 0.0000 0.2638 0.6295 (multiplicity 8)  1 Fe 1.86
C 0.0000 0.4227 0.2500 (multiplicity 4)  2 Fe 2.02

Summary:
The calculation puts the raw total energy at -9.2088 eV per atom. The formation energy is -0.2376 eV per atom. As for the magnetic moment: 0.0 μB/cell.